# CaHf2Co2

Crystalline CaHf2Co2 at its relaxed geometry (PBE, Alexandria via LeMat-Bulk).

Lattice parameters (Å, degrees): 4.1010 4.1010 6.8842 72.67 72.67 90.00
Last column: nearest neighbours and their distance in Å.
Sites, in units of the cell vectors:
Co  0.7500  0.2500  0.5000  4 Hf 2.48
Co  0.2500  0.7500  0.5000  4 Hf 2.48
Ca  0.0000  0.0000  0.0000  8 Hf 3.38, 8 Co 3.73
Hf  0.3612  0.3612  0.2776  4 Co 2.48
Hf  0.6388  0.6388  0.7224  4 Co 2.48

**E**: -7.01 eV per atom
**Energy relative to the lowest polymorph listed for this composition**: 33.4 kJ/mol of atoms



# Ca2HfNbCo

Crystalline Ca2HfNbCo at its relaxed geometry (PBE, Alexandria via LeMat-Bulk).

Lattice parameters (Å, degrees): 5.7715 4.3606 5.7715 90.00 90.00 90.00
Last column: nearest neighbours and their distance in Å.
Sites, in units of the cell vectors:
Co  0.0000  0.5000  0.0000  2 Hf 2.18
Nb  0.5000  0.5000  0.5000  8 Ca 3.62
Hf  0.0000  0.0000  0.0000  2 Co 2.18
Ca  0.0000  0.0000  0.5000  2 Hf 2.89
Ca  0.5000  0.0000  0.0000  2 Hf 2.89

**E**: -4.78 eV per atom



# CaHfCoP2

Crystalline CaHfCoP2 at its relaxed geometry (PBE, Alexandria via LeMat-Bulk).

Lattice parameters (Å, degrees): 4.5119 4.4817 4.5119 90.00 90.00 90.00
Last column: nearest neighbours and their distance in Å.
Sites, in units of the cell vectors:
Co  0.0000  0.0000  0.0000  2 Ca 2.24, 4 P 2.26
Ca  0.0000  0.5000  0.0000  2 Co 2.24
Hf  0.5000  0.5000  0.5000  8 P 3.18, 4 Ca 3.19
P  0.0000  0.0000  0.5000  2 Co 2.26
P  0.5000  0.0000  0.0000  2 Co 2.26

**E**: -5.68 eV per atom



# Sr2CaHfCo

Crystalline Sr2CaHfCo at its relaxed geometry (PBE, Alexandria via LeMat-Bulk).

Lattice parameters (Å, degrees): 6.3946 6.3946 4.5334 90.00 90.00 90.00
Last column: nearest neighbours and their distance in Å.
Sites, in units of the cell vectors:
Sr  0.0000  0.5000  0.0000  2 Hf 3.20
Sr  0.5000  0.0000  0.0000  2 Hf 3.20
Ca  0.5000  0.5000  0.5000  8 Sr 3.92
Hf  0.0000  0.0000  0.0000  2 Co 2.27
Co  0.0000  0.0000  0.5000  2 Hf 2.27

**E**: -3.74 eV per atom



> The highest E belongs to which entry?

Sr2CaHfCo



What did the second record say?
# Ca2HfNbCo

Crystalline Ca2HfNbCo at its relaxed geometry (PBE, Alexandria via LeMat-Bulk).

Lattice parameters (Å, degrees): 5.7715 4.3606 5.7715 90.00 90.00 90.00
Last column: nearest neighbours and their distance in Å.
Sites, in units of the cell vectors:
Co  0.0000  0.5000  0.0000  2 Hf 2.18
Nb  0.5000  0.5000  0.5000  8 Ca 3.62
Hf  0.0000  0.0000  0.0000  2 Co 2.18
Ca  0.0000  0.0000  0.5000  2 Hf 2.89
Ca  0.5000  0.0000  0.0000  2 Hf 2.89

**E**: -4.78 eV per atom



> Number 4 is which compound?

Sr2CaHfCo



Please write out number 3 again, unchanged.
# CaHfCoP2

Crystalline CaHfCoP2 at its relaxed geometry (PBE, Alexandria via LeMat-Bulk).

Lattice parameters (Å, degrees): 4.5119 4.4817 4.5119 90.00 90.00 90.00
Last column: nearest neighbours and their distance in Å.
Sites, in units of the cell vectors:
Co  0.0000  0.0000  0.0000  2 Ca 2.24, 4 P 2.26
Ca  0.0000  0.5000  0.0000  2 Co 2.24
Hf  0.5000  0.5000  0.5000  8 P 3.18, 4 Ca 3.19
P  0.0000  0.0000  0.5000  2 Co 2.26
P  0.5000  0.0000  0.0000  2 Co 2.26

**E**: -5.68 eV per atom